(1)
Crystalline Mg2AlSi2Ru5 at its relaxed geometry, computed with PBE-GGA.

a b c (Å): 9.704 9.704 3.136
angles (deg): 90.00 90.00 90.00
Fractional positions:
Mg (0.170, 0.330, 0.000)
Mg (0.330, 0.830, 0.000)
Mg (0.670, 0.170, 0.000)
Mg (0.830, 0.670, 0.000)
Al (0.000, 0.000, 0.000)
Al (0.500, 0.500, 0.000)
Si (0.131, 0.631, 0.000)
Si (0.369, 0.131, 0.000)
Si (0.631, 0.869, 0.000)
Si (0.869, 0.369, 0.000)
Ru (0.000, 0.500, 0.500)
Ru (0.069, 0.802, 0.500)
Ru (0.198, 0.069, 0.500)
Ru (0.302, 0.569, 0.500)
Ru (0.431, 0.302, 0.500)
Ru (0.500, 0.000, 0.500)
Ru (0.569, 0.698, 0.500)
Ru (0.698, 0.431, 0.500)
Ru (0.802, 0.931, 0.500)
Ru (0.931, 0.198, 0.500)

As for the crystal system: tetragonal. The volume comes out at 295.3 Å³/cell. Its formation energy (no corrections) is -0.39 eV per atom.



(2)
Crystalline Sm2MgAlRu2 at its relaxed geometry, computed with PBE-GGA.

a b c (Å): 8.469 8.469 8.469
angles (deg): 139.92 57.86 140.07
Fractional positions:
Sm (0.172, 0.244, 0.416)
Sm (0.328, 0.744, 0.073)
Sm (0.672, 0.256, 0.927)
Sm (0.828, 0.756, 0.584)
Mg (0.250, 0.250, 0.000)
Mg (0.750, 0.750, 0.000)
Al (0.250, 0.750, 0.500)
Al (0.750, 0.250, 0.500)
Ru (0.116, 0.725, 0.842)
Ru (0.384, 0.225, 0.609)
Ru (0.616, 0.775, 0.391)
Ru (0.884, 0.275, 0.158)

As for the crystal system: orthorhombic. The volume comes out at 248.8 Å³/cell. The formation enthalpy at 0 K is -7.76 kcal/mol of atoms.



(3)
Crystalline SrMgAl2Ru at its relaxed geometry, computed with PBE-GGA.

a b c (Å): 4.803 4.803 5.023
angles (deg): 90.00 90.00 90.00
Fractional positions:
Sr (0.000, 0.000, 0.000)
Mg (0.500, 0.500, 0.000)
Al (0.000, 0.500, 0.500)
Al (0.500, 0.000, 0.500)
Ru (0.500, 0.500, 0.500)

As for the crystal system: tetragonal. The volume comes out at 115.9 Å³/cell. The formation enthalpy at 0 K is -7.04 kcal/mol of atoms.



(4)
Crystalline SrMg2AlRu at its relaxed geometry, computed with PBE-GGA.

a b c (Å): 5.067 5.067 4.809
angles (deg): 90.00 90.00 90.00
Fractional positions:
Sr (0.000, 0.000, 0.000)
Mg (0.000, 0.500, 0.500)
Mg (0.500, 0.000, 0.500)
Al (0.500, 0.500, 0.000)
Ru (0.500, 0.500, 0.500)

As for the crystal system: tetragonal. The volume comes out at 123.5 Å³/cell. The formation enthalpy at 0 K is -3.79 kcal/mol of atoms.